#A
A plane-wave DFT calculation with SCAN was carried out for a crystal of SmZrF7 relaxed with PBEsol.

Cell and atoms, written as CIF:
```
data_SmZrF7
_cell_length_a 5.7265
_cell_length_b 9.1174
_cell_length_c 11.3314
_cell_angle_alpha 107.32
_cell_angle_beta 90.00
_cell_angle_gamma 90.00
_space_group_name_H-M_alt 'P 1'
_space_group_IT_number 1
loop_
_space_group_symop_operation_xyz
'x,y,z'
loop_
_atom_site_label
_atom_site_type_symbol
_atom_site_fract_x
_atom_site_fract_y
_atom_site_fract_z
F1 F 0.0397 0.0837 0.8287
F2 F 0.2662 0.8819 0.3598
F3 F 0.4189 0.7980 0.7670
F4 F 0.9623 0.1335 0.4205
F5 F 0.5377 0.6335 0.9205
F6 F 0.2388 0.0830 0.0575
F7 F 0.7388 0.4170 0.4425
F8 F 0.9189 0.7020 0.7330
F9 F 0.4821 0.8776 0.1455
F10 F 0.0377 0.8665 0.5795
F11 F 0.9603 0.9163 0.1713
F12 F 0.5811 0.2020 0.2330
F13 F 0.2612 0.5830 0.5575
F14 F 0.4562 0.1705 0.4529
F15 F 0.5179 0.1224 0.8545
F16 F 0.7338 0.1181 0.6402
F17 F 0.5397 0.4163 0.6713
F18 F 0.9821 0.6224 0.3545
F19 F 0.7612 0.9170 0.9425
F20 F 0.0438 0.6705 0.9529
F21 F 0.0179 0.3776 0.6455
F22 F 0.2338 0.3819 0.8598
F23 F 0.7662 0.6181 0.1402
F24 F 0.4623 0.3665 0.0795
F25 F 0.9562 0.3295 0.0471
F26 F 0.0811 0.2980 0.2670
F27 F 0.4603 0.5837 0.3287
F28 F 0.5438 0.8295 0.5471
Zr1 Zr 0.7454 0.2707 0.5442
Zr2 Zr 0.2546 0.7293 0.4558
Zr3 Zr 0.2454 0.2293 0.9558
Zr4 Zr 0.7546 0.7707 0.0442
Sm1 Sm 0.2428 0.5799 0.7663
Sm2 Sm 0.2572 0.0799 0.2663
Sm3 Sm 0.7572 0.4201 0.2337
Sm4 Sm 0.7428 0.9201 0.7337
```

Summary:
Magnetic moment in μB/f.u.: 0.1
Crystal system: monoclinic


#B
A plane-wave DFT calculation with SCAN was carried out for a crystal of SmZrF7 relaxed with PBEsol.

Cell and atoms, written as CIF:
```
data_SmZrF7
_cell_length_a 5.8246
_cell_length_b 6.1215
_cell_length_c 8.3034
_cell_angle_alpha 102.72
_cell_angle_beta 90.00
_cell_angle_gamma 90.00
_space_group_name_H-M_alt 'P 1'
_space_group_IT_number 1
loop_
_space_group_symop_operation_xyz
'x,y,z'
loop_
_atom_site_label
_atom_site_type_symbol
_atom_site_fract_x
_atom_site_fract_y
_atom_site_fract_z
F1 F 0.9921 0.5603 0.7454
F2 F 0.4921 0.4397 0.2546
F3 F 0.7614 0.2677 0.4788
F4 F 0.9942 0.0714 0.7083
F5 F 0.9915 0.9032 0.2929
F6 F 0.4942 0.9286 0.2917
F7 F 0.2614 0.7323 0.5212
F8 F 0.0573 0.0411 0.0182
F9 F 0.2515 0.6418 0.0279
F10 F 0.7515 0.3582 0.9721
F11 F 0.5573 0.9589 0.9818
F12 F 0.4915 0.0968 0.7071
F13 F 0.0186 0.4450 0.2646
F14 F 0.5186 0.5550 0.7354
Sm1 Sm 0.2628 0.8452 0.8112
Sm2 Sm 0.7628 0.1548 0.1888
Zr1 Zr 0.2561 0.6865 0.2745
Zr2 Zr 0.7561 0.3135 0.7255
```

Summary:
Magnetic moment in μB/f.u.: 0.1
Crystal system: monoclinic


Computed relative energies in units of meV/atom: #A 0; #B 5


#A
A plane-wave DFT calculation with SCAN was carried out for a crystal of TcF6 relaxed with PBEsol.

Cell and atoms, written as CIF:
```
data_TcF6
_cell_length_a 4.9862
_cell_length_b 8.5945
_cell_length_c 9.3749
_cell_angle_alpha 90.00
_cell_angle_beta 90.00
_cell_angle_gamma 90.00
_space_group_name_H-M_alt 'P 1'
_space_group_IT_number 1
loop_
_space_group_symop_operation_xyz
'x,y,z'
loop_
_atom_site_label
_atom_site_type_symbol
_atom_site_fract_x
_atom_site_fract_y
_atom_site_fract_z
F1 F 0.2667 0.4000 0.0164
F2 F 0.2333 0.1000 0.5164
F3 F 0.9335 0.0999 0.7409
F4 F 0.2848 0.7500 0.9842
F5 F 0.3816 0.2500 0.7418
F6 F 0.8816 0.7500 0.7582
F7 F 0.6184 0.7500 0.2582
F8 F 0.2152 0.7500 0.4842
F9 F 0.1184 0.2500 0.2418
F10 F 0.2333 0.4000 0.5164
F11 F 0.7333 0.6000 0.9836
F12 F 0.7152 0.2500 0.0158
F13 F 0.2667 0.1000 0.0164
F14 F 0.5665 0.0999 0.2409
F15 F 0.0665 0.9001 0.2591
F16 F 0.4335 0.9001 0.7591
F17 F 0.7333 0.9000 0.9836
F18 F 0.7667 0.6000 0.4836
F19 F 0.4335 0.5999 0.7591
F20 F 0.7667 0.9000 0.4836
F21 F 0.9335 0.4001 0.7409
F22 F 0.0665 0.5999 0.2591
F23 F 0.5665 0.4001 0.2409
F24 F 0.7848 0.2500 0.5158
Tc1 Tc 0.4171 0.2500 0.1287
Tc2 Tc 0.0829 0.2500 0.6287
Tc3 Tc 0.9171 0.7500 0.3713
Tc4 Tc 0.5829 0.7500 0.8713
```

Summary:
Magnetic moment in μB/f.u.: 1.0
Crystal system: orthorhombic


#B
A plane-wave DFT calculation with SCAN was carried out for a crystal of TcF6 relaxed with PBEsol.

Cell and atoms, written as CIF:
```
data_TcF6
_cell_length_a 5.5050
_cell_length_b 5.5050
_cell_length_c 5.5050
_cell_angle_alpha 109.47
_cell_angle_beta 109.47
_cell_angle_gamma 109.47
_space_group_name_H-M_alt 'P 1'
_space_group_IT_number 1
loop_
_space_group_symop_operation_xyz
'x,y,z'
loop_
_atom_site_label
_atom_site_type_symbol
_atom_site_fract_x
_atom_site_fract_y
_atom_site_fract_z
F1 F 0.0000 0.2870 0.2870
F2 F 0.2870 0.0000 0.2870
F3 F 0.7130 0.0000 0.7130
F4 F 0.7130 0.7130 0.0000
F5 F 0.0000 0.7130 0.7130
F6 F 0.2870 0.2870 0.0000
Tc1 Tc 0.0000 0.0000 0.0000
```

Summary:
Magnetic moment in μB/f.u.: 1.0
Crystal system: cubic


Computed relative energies in units of meV/atom: #A 0; #B 49


#A
A plane-wave DFT calculation with SCAN was carried out for a crystal of TiZnF5 relaxed with PBEsol.

Cell and atoms, written as CIF:
```
data_TiZnF5
_cell_length_a 5.3012
_cell_length_b 5.3012
_cell_length_c 7.3862
_cell_angle_alpha 69.59
_cell_angle_beta 69.59
_cell_angle_gamma 72.67
_space_group_name_H-M_alt 'P 1'
_space_group_IT_number 1
loop_
_space_group_symop_operation_xyz
'x,y,z'
loop_
_atom_site_label
_atom_site_type_symbol
_atom_site_fract_x
_atom_site_fract_y
_atom_site_fract_z
F1 F 0.7917 0.7189 0.6345
F2 F 0.1304 0.8696 0.2500
F3 F 0.3290 0.7160 0.5423
F4 F 0.8696 0.1304 0.7500
F5 F 0.2840 0.6710 0.9577
F6 F 0.2083 0.2811 0.3655
F7 F 0.2811 0.2083 0.8655
F8 F 0.7189 0.7917 0.1345
F9 F 0.7160 0.3290 0.0423
F10 F 0.6710 0.2840 0.4577
Zn1 Zn 0.5269 0.4731 0.7500
Zn2 Zn 0.4731 0.5269 0.2500
Ti1 Ti 0.0000 0.0000 0.5000
Ti2 Ti 0.0000 0.0000 0.0000
```

Summary:
Magnetic moment in μB/f.u.: 1.0
Crystal system: monoclinic


#B
A plane-wave DFT calculation with SCAN was carried out for a crystal of TiZnF5 relaxed with PBEsol.

Cell and atoms, written as CIF:
```
data_TiZnF5
_cell_length_a 5.2597
_cell_length_b 7.6851
_cell_length_c 9.8070
_cell_angle_alpha 90.00
_cell_angle_beta 90.00
_cell_angle_gamma 107.67
_space_group_name_H-M_alt 'P 1'
_space_group_IT_number 1
loop_
_space_group_symop_operation_xyz
'x,y,z'
loop_
_atom_site_label
_atom_site_type_symbol
_atom_site_fract_x
_atom_site_fract_y
_atom_site_fract_z
F1 F 0.2270 0.1723 0.1327
F2 F 0.8329 0.2908 0.9116
F3 F 0.9140 0.8778 0.2809
F4 F 0.3663 0.3915 0.8853
F5 F 0.7730 0.8277 0.8673
F6 F 0.9140 0.3778 0.2191
F7 F 0.2270 0.6723 0.3673
F8 F 0.8329 0.7908 0.5884
F9 F 0.6586 0.5381 0.3930
F10 F 0.6337 0.6085 0.1147
F11 F 0.3414 0.4619 0.6070
F12 F 0.1671 0.2092 0.4116
F13 F 0.6586 0.0381 0.1070
F14 F 0.7730 0.3277 0.6327
F15 F 0.1671 0.7092 0.0884
F16 F 0.0860 0.1222 0.7191
F17 F 0.3663 0.8915 0.6147
F18 F 0.3414 0.9619 0.8930
F19 F 0.0860 0.6222 0.7809
F20 F 0.6337 0.1085 0.3853
Zn1 Zn 0.4812 0.2075 0.9874
Zn2 Zn 0.4812 0.7075 0.5126
Zn3 Zn 0.5188 0.2925 0.4874
Zn4 Zn 0.5188 0.7925 0.0126
Ti1 Ti 0.9266 0.1320 0.2580
Ti2 Ti 0.0734 0.8680 0.7420
Ti3 Ti 0.9266 0.6320 0.2420
Ti4 Ti 0.0734 0.3680 0.7580
```

Summary:
Magnetic moment in μB/f.u.: 1.0
Crystal system: monoclinic


Computed relative energies in units of meV/atom: #A 0; #B 21


#A
A plane-wave DFT calculation with SCAN was carried out for a crystal of GaFe2H2 relaxed with PBEsol.

Cell and atoms, written as CIF:
```
data_GaFe2H2
_cell_length_a 2.8917
_cell_length_b 2.8917
_cell_length_c 5.1375
_cell_angle_alpha 106.35
_cell_angle_beta 106.35
_cell_angle_gamma 90.00
_space_group_name_H-M_alt 'P 1'
_space_group_IT_number 1
loop_
_space_group_symop_operation_xyz
'x,y,z'
loop_
_atom_site_label
_atom_site_type_symbol
_atom_site_fract_x
_atom_site_fract_y
_atom_site_fract_z
H1 H 0.7500 0.2500 0.5000
H2 H 0.2500 0.7500 0.5000
Fe1 Fe 0.6544 0.6544 0.3089
Fe2 Fe 0.3456 0.3456 0.6911
Ga1 Ga 0.0000 0.0000 0.0000
```

Summary:
Magnetic moment in μB/f.u.: 3.8
Crystal system: tetragonal


#B
A plane-wave DFT calculation with SCAN was carried out for a crystal of GaFe2H2 relaxed with PBEsol.

Cell and atoms, written as CIF:
```
data_GaFe2H2
_cell_length_a 3.3765
_cell_length_b 3.3765
_cell_length_c 4.5698
_cell_angle_alpha 111.68
_cell_angle_beta 111.68
_cell_angle_gamma 90.00
_space_group_name_H-M_alt 'P 1'
_space_group_IT_number 1
loop_
_space_group_symop_operation_xyz
'x,y,z'
loop_
_atom_site_label
_atom_site_type_symbol
_atom_site_fract_x
_atom_site_fract_y
_atom_site_fract_z
H1 H 0.3371 0.3371 0.6742
H2 H 0.6629 0.6629 0.3258
Fe1 Fe 0.2500 0.7500 0.5000
Fe2 Fe 0.7500 0.2500 0.5000
Ga1 Ga 0.0000 0.0000 0.0000
```

Summary:
Magnetic moment in μB/f.u.: 4.5
Crystal system: tetragonal


Computed relative energies in units of meV/atom: #A 0; #B 23


#A
A plane-wave DFT calculation with SCAN was carried out for a crystal of Fe7Ge4 relaxed with PBEsol.

Cell and atoms, written as CIF:
```
data_Fe7Ge4
_cell_length_a 3.9974
_cell_length_b 3.9974
_cell_length_c 9.7389
_cell_angle_alpha 90.00
_cell_angle_beta 90.00
_cell_angle_gamma 120.00
_space_group_name_H-M_alt 'P 1'
_space_group_IT_number 1
loop_
_space_group_symop_operation_xyz
'x,y,z'
loop_
_atom_site_label
_atom_site_type_symbol
_atom_site_fract_x
_atom_site_fract_y
_atom_site_fract_z
Fe1 Fe 0.0000 0.0000 0.6229
Fe2 Fe 0.3333 0.6667 0.5000
Fe3 Fe 0.6667 0.3333 0.2400
Fe4 Fe 0.6667 0.3333 0.7600
Fe5 Fe 0.0000 0.0000 0.1238
Fe6 Fe 0.0000 0.0000 0.8762
Fe7 Fe 0.0000 0.0000 0.3771
Ge1 Ge 0.3333 0.6667 0.2458
Ge2 Ge 0.6667 0.3333 0.5000
Ge3 Ge 0.3333 0.6667 0.7542
Ge4 Ge 0.6667 0.3333 0.0000
```

Summary:
Magnetic moment in μB/f.u.: 15.3
Crystal system: hexagonal


#B
A plane-wave DFT calculation with SCAN was carried out for a crystal of Fe7Ge4 relaxed with PBEsol.

Cell and atoms, written as CIF:
```
data_Fe7Ge4
_cell_length_a 4.8470
_cell_length_b 7.8876
_cell_length_c 7.8876
_cell_angle_alpha 120.00
_cell_angle_beta 90.00
_cell_angle_gamma 90.00
_space_group_name_H-M_alt 'P 1'
_space_group_IT_number 1
loop_
_space_group_symop_operation_xyz
'x,y,z'
loop_
_atom_site_label
_atom_site_type_symbol
_atom_site_fract_x
_atom_site_fract_y
_atom_site_fract_z
Fe1 Fe 0.0000 0.5000 0.0000
Fe2 Fe 0.7500 0.8390 0.6780
Fe3 Fe 0.5000 0.0000 0.5000
Fe4 Fe 0.5000 0.5000 0.0000
Fe5 Fe 0.2500 0.1610 0.3220
Fe6 Fe 0.0000 0.0000 0.0000
Fe7 Fe 0.0000 0.5000 0.5000
Fe8 Fe 0.5000 0.5000 0.5000
Fe9 Fe 0.2500 0.1610 0.8390
Fe10 Fe 0.0000 0.0000 0.5000
Fe11 Fe 0.7500 0.3220 0.1610
Fe12 Fe 0.7500 0.8390 0.1610
Fe13 Fe 0.2500 0.6780 0.8390
Fe14 Fe 0.5000 0.0000 0.0000
Ge1 Ge 0.7500 0.1879 0.8121
Ge2 Ge 0.2500 0.8121 0.6242
Ge3 Ge 0.7500 0.6667 0.3333
Ge4 Ge 0.2500 0.8121 0.1879
Ge5 Ge 0.2500 0.3758 0.1879
Ge6 Ge 0.7500 0.1879 0.3758
Ge7 Ge 0.2500 0.3333 0.6667
Ge8 Ge 0.7500 0.6242 0.8121
```

Summary:
Magnetic moment in μB/f.u.: 15.6
Crystal system: hexagonal


Computed relative energies in units of meV/atom: #A 9; #B 0


#A
A plane-wave DFT calculation with SCAN was carried out for a crystal of LaFe5H7 relaxed with PBEsol.

Cell and atoms, written as CIF:
```
data_LaFe5H7
_cell_length_a 5.3777
_cell_length_b 5.3777
_cell_length_c 8.0851
_cell_angle_alpha 90.00
_cell_angle_beta 90.00
_cell_angle_gamma 115.97
_space_group_name_H-M_alt 'P 1'
_space_group_IT_number 1
loop_
_space_group_symop_operation_xyz
'x,y,z'
loop_
_atom_site_label
_atom_site_type_symbol
_atom_site_fract_x
_atom_site_fract_y
_atom_site_fract_z
H1 H 0.1982 0.4071 0.8466
H2 H 0.1982 0.4071 0.1534
H3 H 0.1569 0.8431 0.2500
H4 H 0.0000 0.5000 0.5000
H5 H 0.1569 0.8431 0.7500
H6 H 0.5929 0.8018 0.3466
H7 H 0.4071 0.1982 0.3466
H8 H 0.4071 0.1982 0.6534
H9 H 0.5000 0.0000 0.0000
H10 H 0.8018 0.5929 0.8466
H11 H 0.8431 0.1569 0.7500
H12 H 0.8431 0.1569 0.2500
H13 H 0.5929 0.8018 0.6534
H14 H 0.8018 0.5929 0.1534
Fe1 Fe 0.5000 0.5000 0.2500
Fe2 Fe 0.6430 0.3373 0.5000
Fe3 Fe 0.5000 0.0000 0.2320
Fe4 Fe 0.0000 0.5000 0.2680
Fe5 Fe 0.3373 0.6430 0.0000
Fe6 Fe 0.5000 0.0000 0.7680
Fe7 Fe 0.6627 0.3570 0.0000
Fe8 Fe 0.3570 0.6627 0.5000
Fe9 Fe 0.5000 0.5000 0.7500
Fe10 Fe 0.0000 0.5000 0.7320
La1 La 0.0000 0.0000 0.5000
La2 La 0.0000 0.0000 0.0000
```

Summary:
Magnetic moment in μB/f.u.: 12.1
Crystal system: orthorhombic


#B
A plane-wave DFT calculation with SCAN was carried out for a crystal of LaFe5H7 relaxed with PBEsol.

Cell and atoms, written as CIF:
```
data_LaFe5H7
_cell_length_a 5.5107
_cell_length_b 5.5107
_cell_length_c 8.1813
_cell_angle_alpha 90.00
_cell_angle_beta 90.00
_cell_angle_gamma 120.00
_space_group_name_H-M_alt 'P 1'
_space_group_IT_number 1
loop_
_space_group_symop_operation_xyz
'x,y,z'
loop_
_atom_site_label
_atom_site_type_symbol
_atom_site_fract_x
_atom_site_fract_y
_atom_site_fract_z
H1 H 0.0074 0.5037 0.4352
H2 H 0.3333 0.6667 0.7419
H3 H 0.8611 0.1389 0.7265
H4 H 0.2779 0.1389 0.7265
H5 H 0.4963 0.5037 0.4352
H6 H 0.5037 0.4963 0.9352
H7 H 0.5037 0.0074 0.9352
H8 H 0.4963 0.9926 0.4352
H9 H 0.6667 0.3333 0.2419
H10 H 0.7221 0.8611 0.2265
H11 H 0.8611 0.7221 0.7265
H12 H 0.1389 0.8611 0.2265
H13 H 0.1389 0.2779 0.2265
H14 H 0.9926 0.4963 0.9352
La1 La 0.0000 0.0000 0.9770
La2 La 0.0000 0.0000 0.4770
Fe1 Fe 0.9767 0.4884 0.7266
Fe2 Fe 0.3333 0.6667 0.5134
Fe3 Fe 0.0233 0.5116 0.2266
Fe4 Fe 0.6667 0.3333 0.0134
Fe5 Fe 0.5116 0.0233 0.7266
Fe6 Fe 0.3333 0.6667 0.9859
Fe7 Fe 0.4884 0.5116 0.2266
Fe8 Fe 0.6667 0.3333 0.4859
Fe9 Fe 0.5116 0.4884 0.7266
Fe10 Fe 0.4884 0.9767 0.2266
```

Summary:
Magnetic moment in μB/f.u.: 13.1
Crystal system: hexagonal


Computed relative energies in units of meV/atom: #A 17; #B 0